9
Lattice="-3.000 0.689 2.908 0.126 -5.261 -1.705 5.734 0.613 5.770" Properties=species:S:1:pos:R:3 comment="Er3Si4Pt2, relaxed, DFT GGA-PBE" formation_energy_uncorrected_mev_per_atom=-1010.5 spacegroup="C2/m (12)" pbc="T T T"
Si 0.676 -3.297 4.562
Si 4.628 -2.116 5.276
Si 2.184 -0.661 2.410
Si -1.767 -1.842 1.696
Er 0.000 0.000 0.000
Er 0.774 -3.386 1.601
Er 2.087 -0.572 5.371
Pt 2.978 -3.004 3.784
Pt -0.117 -0.954 3.188